Y2Zn3Pd4 | the Alexandria database | PBE | optimized geometry; total magnetization = 0.0 μB/f.u.
1.0
2.8067 -7.5535 0.0000
2.8067 7.5535 0.0000
0.0000 0.0000 7.6477
Y Zn Pd
4 6 8
Direct
0.1132 0.8868 0.9188
0.3868 0.6132 0.4188
0.6132 0.3868 0.5812
0.8868 0.1132 0.0812
0.0000 0.0000 0.5000
0.0227 0.4773 0.7500
0.4773 0.0227 0.2500
0.5000 0.5000 0.0000
0.5227 0.9773 0.7500
0.9773 0.5227 0.2500
0.1774 0.8226 0.5234
0.1935 0.3065 0.7500
0.3065 0.1935 0.2500
0.3226 0.6774 0.0234
0.6774 0.3226 0.9766
0.6935 0.8065 0.7500
0.8065 0.6935 0.2500
0.8226 0.1774 0.4766



In2Sb | the Alexandria database | PBE | optimized geometry; total magnetization = 0.0 μB/f.u.; E_form (uncorrected) = 0.048 eV/atom
1.0
3.4194 0.0000 0.0000
0.0000 3.9737 0.0000
0.0000 0.0000 12.4462
In Sb
4 2
Direct
0.0000 0.0000 0.1593
0.0000 0.0000 0.8407
0.5000 0.5000 0.3407
0.5000 0.5000 0.6593
0.0000 0.0000 0.5000
0.5000 0.5000 0.0000



CsInW3 | the Alexandria database | PBE | optimized geometry; total magnetization = 0.0 μB/f.u.; distance to the lowest polymorph of the same formula = 610.1 meV per atom
1.0
4.9603 0.0000 0.0000
0.0000 4.9603 0.0000
0.0000 0.0000 4.9603
Cs In W
1 1 3
Direct
0.0000 0.0000 0.0000
0.5000 0.5000 0.5000
0.0000 0.0000 0.5000
0.0000 0.5000 0.0000
0.5000 0.0000 0.0000



SrPt | the Alexandria database | PBE | optimized geometry; total magnetization = 0.0 μB/f.u.
1.0
10.8954 0.0000 0.0000
0.0000 10.8954 0.0000
0.0000 0.0000 4.7053
Sr Pt
8 8
Direct
0.0000 0.2643 0.0000
0.0000 0.7357 0.0000
0.2357 0.5000 0.5000
0.2643 0.0000 0.0000
0.5000 0.2357 0.5000
0.5000 0.7643 0.5000
0.7357 0.0000 0.0000
0.7643 0.5000 0.5000
0.2201 0.2201 0.5000
0.2201 0.7799 0.5000
0.2799 0.2799 0.0000
0.2799 0.7201 0.0000
0.7201 0.2799 0.0000
0.7201 0.7201 0.0000
0.7799 0.2201 0.5000
0.7799 0.7799 0.5000



ScSn3N | the Alexandria database | PBE | optimized geometry; total magnetization = 2.9 μB/f.u.; E_form (uncorrected) = 1.315 eV/atom; distance to the lowest polymorph of the same formula = 1040.2 meV per atom
1.0
5.5600 0.0000 0.0000
0.0000 5.5600 0.0000
0.0000 0.0000 5.5600
Sc Sn N
1 3 1
Direct
0.0000 0.0000 0.0000
0.0000 0.0000 0.5000
0.0000 0.5000 0.0000
0.5000 0.0000 0.0000
0.5000 0.5000 0.5000



Li2YRe | the Alexandria database | PBE | optimized geometry; total magnetization = 0.9 μB/f.u.; distance to the lowest polymorph of the same formula = 128.3 meV per atom
1.0
4.0784 0.0000 0.0000
0.0000 4.0784 0.0000
0.0000 0.0000 8.7061
Li Y Re
4 2 2
Direct
0.0000 0.5000 0.2500
0.0000 0.5000 0.7500
0.5000 0.0000 0.2500
0.5000 0.0000 0.7500
0.0000 0.0000 0.0000
0.5000 0.5000 0.5000
0.0000 0.0000 0.5000
0.5000 0.5000 0.0000



TlAsBr2 | the Alexandria database | PBE | optimized geometry; total magnetization = 1.9 μB/f.u.; E_form (uncorrected) = 0.265 eV/atom; distance to the lowest polymorph of the same formula = 527.4 meV per atom
1.0
7.6070 0.0000 0.0000
0.0000 7.6070 0.0000
0.0000 0.0000 7.6070
Tl As Br
4 4 8
Direct
0.0000 0.0000 0.0000
0.0000 0.5000 0.5000
0.5000 0.0000 0.5000
0.5000 0.5000 0.0000
0.2500 0.2500 0.7500
0.2500 0.7500 0.2500
0.7500 0.2500 0.2500
0.7500 0.7500 0.7500
0.0000 0.0000 0.5000
0.0000 0.5000 0.0000
0.2500 0.2500 0.2500
0.2500 0.7500 0.7500
0.5000 0.0000 0.0000
0.5000 0.5000 0.5000
0.7500 0.2500 0.7500
0.7500 0.7500 0.2500



TlH2N | the Alexandria database | PBE | optimized geometry; total magnetization = 0.0 μB/f.u.; distance to the lowest polymorph of the same formula = 11.1 meV per atom
1.0
7.6273 0.0000 0.0000
0.0000 3.8331 0.0000
0.0000 0.0000 9.7525
Tl H N
4 8 4
Direct
0.1331 0.2500 0.1161
0.3669 0.7500 0.6161
0.6331 0.2500 0.3839
0.8669 0.7500 0.8839
0.0814 0.2500 0.6841
0.0828 0.2500 0.5167
0.4172 0.7500 0.0167
0.4186 0.7500 0.1841
0.5814 0.2500 0.8159
0.5828 0.2500 0.9833
0.9172 0.7500 0.4833
0.9186 0.7500 0.3159
0.1641 0.2500 0.6008
0.3359 0.7500 0.1008
0.6641 0.2500 0.8992
0.8359 0.7500 0.3992



TcTe2As | the Alexandria database | PBE | optimized geometry; total magnetization = 0.0 μB/f.u.; E_form (uncorrected) = 0.178 eV/atom
1.0
4.5424 0.0000 0.0000
0.0000 5.3631 0.0000
0.0000 0.0000 7.4214
Tc Te As
2 4 2
Direct
0.0000 0.0000 0.0000
0.0000 0.5000 0.5000
0.0000 0.0000 0.5819
0.0000 0.5000 0.0819
0.5000 0.0000 0.2255
0.5000 0.5000 0.7255
0.5000 0.0000 0.8495
0.5000 0.5000 0.3495



Ba8GePt2 | the Alexandria database | PBE | optimized geometry; total magnetization = 0.0 μB/f.u.
1.0
6.5980 0.0000 0.0000
0.0009 10.2903 0.0000
0.0017 5.1408 8.9174
Ba Ge Pt
8 1 2
Direct
0.2376 0.3333 0.3334
0.2563 0.3261 0.8360
0.2561 0.8358 0.8381
0.2563 0.8381 0.3260
0.7437 0.1619 0.6740
0.7439 0.1642 0.1619
0.7437 0.6739 0.1640
0.7624 0.6667 0.6666
0.5000 0.0000 0.0000
0.2724 0.6667 0.6665
0.7276 0.3333 0.3335



Pm2GeP | the Alexandria database | PBE | optimized geometry; total magnetization = 0.0 μB/f.u.; distance to the lowest polymorph of the same formula = 100.6 meV per atom
1.0
4.0837 0.0000 0.0000
-2.0419 3.5366 0.0000
0.0000 0.0000 21.6375
Pm Ge P
6 3 3
Direct
0.0000 0.0000 0.2441
0.0000 0.0000 0.7559
0.3333 0.6667 0.4226
0.3333 0.6667 0.9107
0.6667 0.3333 0.0893
0.6667 0.3333 0.5774
0.0000 0.0000 0.0000
0.3333 0.6667 0.6667
0.6667 0.3333 0.3333
0.0000 0.0000 0.5000
0.3333 0.6667 0.1667
0.6667 0.3333 0.8333



Number 1: calculated volume 324 Å³ per cell, uncorrected energy -4.896 eV per atom. Number 2: calculated volume 169 Å³ per cell, uncorrected energy -3.152 eV per atom. Number 3: calculated volume 122 Å³ per cell, uncorrected energy -4.687 eV per atom. Number 4: calculated volume 559 Å³ per cell, uncorrected energy -4.429 eV per atom. Number 5: calculated volume 172 Å³ per cell, uncorrected energy -4.019 eV per atom. Number 6: calculated volume 145 Å³ per cell, uncorrected energy -5.167 eV per atom. Number 7: calculated volume 440 Å³ per cell, uncorrected energy -2.325 eV per atom. Number 8: calculated volume 285 Å³ per cell, uncorrected energy -4.398 eV per atom. Number 9: calculated volume 181 Å³ per cell, uncorrected energy -5.147 eV per atom. Number 10: calculated volume 605 Å³ per cell, uncorrected energy -3.164 eV per atom. Number 11: calculated volume 313 Å³ per cell, uncorrected energy -6.000 eV per atom.